# 1
SmSc2IrO8 (PBE, relaxed); uncorrected energy = -7.7966 eV per atom; size of the total moment = 1.371 μB per formula unit; D(E_F) = 0.45 states/eV per atom; mass density = 5.89 g/cm3; energy relative to the elements, uncorrected = -2.30 eV/atom
1.0
4.888 0.000 0.000
0.000 6.604 0.000
-0.068 0.000 4.893
Sm Sc Ir O
1 2 1 8
direct
0.000 0.000 0.000 Sm
0.500 0.242 0.500 Sc
0.500 0.758 0.500 Sc
0.000 0.500 0.000 Ir
0.198 0.291 0.196 O
0.198 0.709 0.196 O
0.275 0.500 0.724 O
0.320 0.000 0.678 O
0.680 0.000 0.322 O
0.725 0.500 0.276 O
0.802 0.291 0.804 O
0.802 0.709 0.804 O

=====

# 2
BaNa2Sn3 (PBE, relaxed); uncorrected energy = -3.0444 eV per atom; size of the total moment = 0.000 μB per formula unit; D(E_F) = 0.42 states/eV per atom; mass density = 4.49 g/cm3
1.0
5.991 -5.414 0.000
5.991 5.414 0.000
0.000 0.000 6.147
Ba Na Sn
2 4 6
direct
0.215 0.785 0.750 Ba
0.785 0.215 0.250 Ba
0.256 0.256 0.000 Na
0.256 0.256 0.500 Na
0.744 0.744 0.000 Na
0.744 0.744 0.500 Na
0.055 0.562 0.250 Sn
0.436 0.564 0.250 Sn
0.438 0.945 0.250 Sn
0.562 0.055 0.750 Sn
0.564 0.436 0.750 Sn
0.945 0.438 0.750 Sn

=====

# 3
ScCoW (PBE, relaxed); uncorrected energy = -8.7619 eV per atom; size of the total moment = 0.594 μB per formula unit; D(E_F) = 0.77 states/eV per atom; mass density = 10.00 g/cm3
1.0
2.966 0.000 0.000
0.000 2.966 0.000
0.000 0.000 10.853
Sc Co W
2 2 2
direct
0.000 0.000 0.000 Sc
0.500 0.500 0.500 Sc
0.000 0.000 0.323 Co
0.500 0.500 0.823 Co
0.000 0.000 0.695 W
0.500 0.500 0.195 W